Record 1
# TaAsIBr2 PBE optimized geometry
data_TaAsIBr2
_space_group_name_H-M_alt 'P 1'
_space_group_IT_number 1
_cell_length_a 5.553
_cell_length_b 5.553
_cell_length_c 5.626
_cell_angle_alpha 90.00
_cell_angle_beta 90.00
_cell_angle_gamma 90.00
loop_
_space_group_symop_operation_xyz
'x,y,z'
loop_
_atom_site_label
_atom_site_type_symbol
_atom_site_fract_x
_atom_site_fract_y
_atom_site_fract_z
As1 As 0.000 0.000 0.500
Ta1 Ta 0.500 0.500 0.500
Br1 Br 0.000 0.500 0.000
Br2 Br 0.500 0.000 0.000
I1 I 0.000 0.000 0.000
# D(E_F) = 6.58 states/eV/f.u.
# Volume = 173.5 Å³ per cell
# Uncorrected formation energy = 1.5979 eV/atom
# Offset from the most stable computed form = 1576 meV per atom
# Space-group type = P4/mmm, No. 123
# Total DFT energy (no corrections) = -13.41 eV/cell

Record 2
# CeBe2B6 PBE optimized geometry
data_CeBe2B6
_space_group_name_H-M_alt 'P 1'
_space_group_IT_number 1
_cell_length_a 3.067
_cell_length_b 6.349
_cell_length_c 5.366
_cell_angle_alpha 126.27
_cell_angle_beta 106.61
_cell_angle_gamma 90.00
loop_
_space_group_symop_operation_xyz
'x,y,z'
loop_
_atom_site_label
_atom_site_type_symbol
_atom_site_fract_x
_atom_site_fract_y
_atom_site_fract_z
B1 B 0.699 0.440 0.399
B2 B 0.301 0.042 0.601
B3 B 0.301 0.560 0.601
B4 B 0.699 0.958 0.399
B5 B 0.500 0.137 0.000
B6 B 0.500 0.863 0.000
Ce1 Ce 0.000 0.500 0.000
Be1 Be 0.150 0.150 0.301
Be2 Be 0.850 0.850 0.699
# D(E_F) = 3.28 states/eV/f.u.
# ΔE_f = -245.9 meV per atom
# Volume = 78.8 Å³ per cell
# Space-group type = Immm, No. 71
# Total DFT energy (no corrections) = -55.66 eV/cell

Record 3
# LiTb3Si6Ni2 PBE optimized geometry
data_LiTb3Si6Ni2
_space_group_name_H-M_alt 'P 1'
_space_group_IT_number 1
_cell_length_a 5.729
_cell_length_b 5.729
_cell_length_c 7.853
_cell_angle_alpha 90.00
_cell_angle_beta 90.00
_cell_angle_gamma 120.00
loop_
_space_group_symop_operation_xyz
'x,y,z'
loop_
_atom_site_label
_atom_site_type_symbol
_atom_site_fract_x
_atom_site_fract_y
_atom_site_fract_z
Tb1 Tb 0.333 0.667 0.615
Tb2 Tb 0.000 0.000 0.000
Tb3 Tb 0.667 0.333 0.385
Si1 Si 0.192 0.808 0.276
Si2 Si 0.384 0.192 0.724
Si3 Si 0.616 0.808 0.276
Si4 Si 0.808 0.616 0.724
Si5 Si 0.808 0.192 0.724
Si6 Si 0.192 0.384 0.276
Ni1 Ni 0.333 0.667 0.040
Ni2 Ni 0.667 0.333 0.960
Li1 Li 0.000 0.000 0.500
# D(E_F) = 4.28 states/eV/f.u.
# Volume = 223.2 Å³ per cell
# Uncorrected formation energy = -0.3187 eV/atom
# Space-group type = P-3m1, No. 164
# Total DFT energy (no corrections) = -63.73 eV/cell

Record 4
# CsNb2B2 PBE optimized geometry
data_CsNb2B2
_space_group_name_H-M_alt 'P 1'
_space_group_IT_number 1
_cell_length_a 7.539
_cell_length_b 7.539
_cell_length_c 2.892
_cell_angle_alpha 90.00
_cell_angle_beta 90.00
_cell_angle_gamma 90.00
loop_
_space_group_symop_operation_xyz
'x,y,z'
loop_
_atom_site_label
_atom_site_type_symbol
_atom_site_fract_x
_atom_site_fract_y
_atom_site_fract_z
Nb1 Nb 0.871 0.629 0.000
Nb2 Nb 0.129 0.371 0.000
Nb3 Nb 0.371 0.871 0.000
Nb4 Nb 0.629 0.129 0.000
Cs1 Cs 0.500 0.500 0.000
Cs2 Cs 0.000 0.000 0.000
B1 B 0.647 0.853 0.500
B2 B 0.853 0.353 0.500
B3 B 0.147 0.647 0.500
B4 B 0.353 0.147 0.500
# D(E_F) = 4.05 states/eV/f.u.
# ΔE_f = 1034.3 meV per atom
# Volume = 164.4 Å³ per cell
# Space-group type = P4/mbm, No. 127
# Total DFT energy (no corrections) = -58.35 eV/cell

Record 5
# NdZr2Mn PBE optimized geometry
data_NdZr2Mn
_space_group_name_H-M_alt 'P 1'
_space_group_IT_number 1
_cell_length_a 3.254
_cell_length_b 3.254
_cell_length_c 10.359
_cell_angle_alpha 80.96
_cell_angle_beta 80.96
_cell_angle_gamma 60.00
loop_
_space_group_symop_operation_xyz
'x,y,z'
loop_
_atom_site_label
_atom_site_type_symbol
_atom_site_fract_x
_atom_site_fract_y
_atom_site_fract_z
Nd1 Nd 0.000 0.000 0.000
Zr1 Zr 0.894 0.894 0.319
Zr2 Zr 0.106 0.106 0.681
Mn1 Mn 0.500 0.500 0.500
# D(E_F) = 5.62 states/eV/f.u.
# ΔE_f = 368.4 meV per atom
# Volume = 93.4 Å³ per cell
# Offset from the most stable computed form = 272 meV per atom
# Space-group type = R-3m, No. 166
# Total DFT energy (no corrections) = -29.56 eV/cell

Record 6
# Mn2C PBE optimized geometry
data_Mn2C
_space_group_name_H-M_alt 'P 1'
_space_group_IT_number 1
_cell_length_a 3.623
_cell_length_b 3.623
_cell_length_c 2.515
_cell_angle_alpha 90.00
_cell_angle_beta 90.00
_cell_angle_gamma 120.00
loop_
_space_group_symop_operation_xyz
'x,y,z'
loop_
_atom_site_label
_atom_site_type_symbol
_atom_site_fract_x
_atom_site_fract_y
_atom_site_fract_z
Mn1 Mn 0.667 0.333 0.500
Mn2 Mn 0.333 0.667 0.500
C1 C 0.000 0.000 0.000
# D(E_F) = 2.33 states/eV/f.u.
# ΔE_f = 1423.9 meV per atom
# Volume = 28.6 Å³ per cell
# Space-group type = P6/mmm, No. 191
# Total DFT energy (no corrections) = -23.29 eV/cell

> What is the formula in the third record?

LiTb3Si6Ni2

> Number 6 is which compound?

Mn2C

> The lowest D(E_F) belongs to which entry?

Mn2C

> What is the total DFT energy (no corrections) in the third record?

-63.73 eV/cell